Here is crystalline Nd4Mn3NiO12 at its relaxed geometry from Alexandria via LeMat-Bulk. Energies are from GGA+U.

Computed properties:
The density of states at the Fermi level is 0.11 states/eV per cell. The calculation puts the energy at -7.65 eV/atom. As for the space-group type: P-1.

abc: 5.454 5.682 7.801
angles: 89.84 89.67 89.32
Each line ends with the local moment (μB).
Atoms (fractional coordinates):
Mn 0.000 0.500 0.500  3.86
Mn 0.500 0.000 0.500  3.91
Mn 0.500 0.000 0.000  3.36
O 0.593 0.975 0.758  -0.02
O 0.216 0.809 0.548  -0.01
O 0.914 0.478 0.744  -0.01
O 0.215 0.803 0.955  -0.01
O 0.696 0.715 0.049  -0.01
O 0.785 0.197 0.045  -0.01
O 0.294 0.302 0.547  -0.03
O 0.304 0.285 0.951  -0.01
O 0.706 0.698 0.453  -0.03
O 0.784 0.191 0.452  -0.01
O 0.086 0.522 0.256  -0.01
O 0.407 0.025 0.242  -0.02
Nd 0.016 0.062 0.754  0.01
Nd 0.984 0.938 0.246  0.01
Nd 0.488 0.557 0.752  0.01
Nd 0.512 0.443 0.248  0.01
Ni 0.000 0.500 0.000  1.73